# Tb8Sm4Y | Alexandria | PBE | relaxed
data_Tb8Sm4Y
_cell_length_a 11.0491
_cell_length_b 11.0491
_cell_length_c 13.4904
_cell_angle_alpha 90.00
_cell_angle_beta 90.00
_cell_angle_gamma 120.00
_symmetry_space_group_name_H-M 'R -3 m'
_symmetry_Int_Tables_number 166
_symmetry_space_group_name_Hall '-R 3 2"'
loop_
_atom_site_label
_atom_site_fract_x
_atom_site_fract_y
_atom_site_fract_z
_atom_site_occupancy
Tb1 0.0000 0.0000 0.2394 1
Tb2 0.0132 0.5066 0.7461 1
Sm1 0.0000 0.0000 0.0000 1
Sm2 0.0000 0.5000 0.0000 1
Y1 0.0000 0.0000 0.5000 1
# Formation enthalpy at 0 K in eV per atom: 0.50
# M_tot in μB per atom: 0.058

***

# Tb6Sm3Y | Alexandria | PBE | relaxed
data_Tb6Sm3Y
_cell_length_a 10.8687
_cell_length_b 18.9268
_cell_length_c 6.4104
_cell_angle_alpha 90.00
_cell_angle_beta 90.00
_cell_angle_gamma 90.00
_symmetry_space_group_name_H-M 'C m c 21'
_symmetry_Int_Tables_number 36
loop_
_symmetry_equiv_pos_as_xyz
'x,y,z'
'-x,-y,z+1/2'
'-x,y,z'
'x,-y,z+1/2'
'x+1/2,y+1/2,z'
'-x+1/2,-y+1/2,z+1/2'
'-x+1/2,y+1/2,z'
'x+1/2,-y+1/2,z+1/2'
loop_
_atom_site_label
_atom_site_fract_x
_atom_site_fract_y
_atom_site_fract_z
_atom_site_occupancy
Tb1 0.0000 0.0346 0.0000 1
Tb2 0.0000 0.2734 0.2047 1
Tb3 0.1698 0.4550 0.3058 1
Tb4 0.2345 0.2898 0.4923 1
Sm1 0.0000 0.3873 0.7804 1
Sm2 0.1760 0.1146 0.3905 1
Y1 0.0000 0.1902 0.7371 1
# Formation enthalpy at 0 K in eV per atom: 0.15
# M_tot in μB per atom: 0.000

***

Question: Which of these has the lowest formation enthalpy at 0 K?
Answer: Tb6Sm3Y

***

What did the first record say?
# Tb8Sm4Y | Alexandria | PBE | relaxed
data_Tb8Sm4Y
_cell_length_a 11.0491
_cell_length_b 11.0491
_cell_length_c 13.4904
_cell_angle_alpha 90.00
_cell_angle_beta 90.00
_cell_angle_gamma 120.00
_symmetry_space_group_name_H-M 'R -3 m'
_symmetry_Int_Tables_number 166
_symmetry_space_group_name_Hall '-R 3 2"'
loop_
_atom_site_label
_atom_site_fract_x
_atom_site_fract_y
_atom_site_fract_z
_atom_site_occupancy
Tb1 0.0000 0.0000 0.2394 1
Tb2 0.0132 0.5066 0.7461 1
Sm1 0.0000 0.0000 0.0000 1
Sm2 0.0000 0.5000 0.0000 1
Y1 0.0000 0.0000 0.5000 1
# Formation enthalpy at 0 K in eV per atom: 0.50
# M_tot in μB per atom: 0.058

***

Question: The highest formation enthalpy at 0 K belongs to which entry?
Answer: Tb8Sm4Y

***

Question: Which value of formation enthalpy at 0 K does entry 1 give?
Answer: 0.50 eV per atom